First-principles (PBE-GGA) data for a relaxed structure of KNi2SbPt, as listed in the Alexandria database.

Geometry as CIF:
```
data_KNi2SbPt
_chemical_formula_sum 'K1 Ni2 Sb1 Pt1'
_cell_length_a 4.760
_cell_length_b 4.760
_cell_length_c 5.538
_cell_angle_alpha 90.00
_cell_angle_beta 90.00
_cell_angle_gamma 90.00
_symmetry_space_group_name_H-M 'P 4/m m m'
_symmetry_Int_Tables_number 123
_symmetry_space_group_name_Hall '-P 4 2'
loop_
_atom_site_label
_atom_site_type_symbol
_atom_site_fract_x
_atom_site_fract_y
_atom_site_fract_z
K1 K 0.000 0.000 0.000
Ni1 Ni 0.000 0.500 0.500
Sb1 Sb 0.500 0.500 0.000
Pt1 Pt 0.000 0.000 0.500
```

uncorrected formation energy = 919 meV per atom
VASP energy = -3.6456 eV/atom
crystal system = tetragonal



First-principles (PBE-GGA) data for a relaxed structure of HfAgPO2, as listed in the Alexandria database.

Geometry as CIF:
```
data_HfAgPO2
_chemical_formula_sum 'Hf1 Ag1 P1 O2'
_cell_length_a 3.974
_cell_length_b 3.974
_cell_length_c 5.646
_cell_angle_alpha 90.00
_cell_angle_beta 90.00
_cell_angle_gamma 90.00
_symmetry_space_group_name_H-M 'P 4/m m m'
_symmetry_Int_Tables_number 123
_symmetry_space_group_name_Hall '-P 4 2'
loop_
_atom_site_label
_atom_site_type_symbol
_atom_site_fract_x
_atom_site_fract_y
_atom_site_fract_z
Hf1 Hf 0.000 0.000 0.000
Ag1 Ag 0.500 0.500 0.500
P1 P 0.000 0.000 0.500
O1 O 0.000 0.500 0.000
```

uncorrected formation energy = -1267 meV per atom
VASP energy = -6.8928 eV/atom
crystal system = tetragonal



First-principles (PBE-GGA) data for a relaxed structure of FeHSN2, as listed in the Alexandria database.

Geometry as CIF:
```
data_FeHSN2
_chemical_formula_sum 'Fe1 H1 S1 N2'
_cell_length_a 3.449
_cell_length_b 3.449
_cell_length_c 5.006
_cell_angle_alpha 90.00
_cell_angle_beta 90.00
_cell_angle_gamma 90.00
_symmetry_space_group_name_H-M 'P 4/m m m'
_symmetry_Int_Tables_number 123
_symmetry_space_group_name_Hall '-P 4 2'
loop_
_atom_site_label
_atom_site_type_symbol
_atom_site_fract_x
_atom_site_fract_y
_atom_site_fract_z
Fe1 Fe 0.000 0.000 0.000
H1 H 0.500 0.500 0.500
S1 S 0.000 0.000 0.500
N1 N 0.000 0.500 0.000
```

VASP energy = -5.3227 eV/atom
crystal system = tetragonal